An optimized crystal structure of LaP2Ir, computed with GGA-PBE.

```
LaP2Ir
1.0
3.9478 -0.0053 0.0047
1.9748 3.4184 0.0047
1.9703 1.1354 5.5562
P Ir La
2 1 1
direct
0.9740 0.9740 0.0780
0.5260 0.5260 0.4220
0.2500 0.2500 0.2500
0.7500 0.7500 0.7500
```

Properties
spin magnetization: 0.00 μB per atom
space group: No. 166
final energy: -29.0 eV/f.u.